A plane-wave DFT calculation with PBE was carried out for an optimized crystal structure of MoPtSe2Cl.

Output
The value obtained for the calculated total energy is -22.94 eV per cell. The formation energy without anion corrections comes out at 550 meV per atom. The volume comes out at 111 Å³ per cell.

abc: 4.9628 4.9628 4.5237
angles: 90.00 90.00 90.00
With the nearest neighbours (Å) after each atom.
Fractional positions:
Mo 0.0000 0.0000 0.0000  2 Cl 2.26, 4 Se 2.48
Pt 0.5000 0.5000 0.5000  8 Se 3.36, 4 Cl 3.51
Se 0.0000 0.5000 0.0000  2 Mo 2.48
Se 0.5000 0.0000 0.0000  2 Mo 2.48
Cl 0.0000 0.0000 0.5000  2 Mo 2.26